Record 1
A relaxed structure of LiTcPt. Source: Alexandria via LeMat-Bulk, functional PBE.

Structure (POSCAR):
```
LiTcPt
1.0
2.7053 0.0000 0.0000
0.0318 4.8313 0.0000
0.4431 1.1498 6.6990
Li Tc Pt
2 2 2
Direct
0.0000 0.0000 0.0000
0.4569 0.7519 0.3483
0.5195 0.3200 0.6520
0.9228 0.2528 0.3432
0.4861 0.4898 0.0218
0.9937 0.8102 0.6781
```

Values from the calculation:
Its space-group type is P1. The value obtained for the electronic total energy is -37.594 eV/cell. Its excess energy over the best structure of this formula in the dataset is 81 meV per atom. The calculation puts the total magnetization at 0.000 μB per atom. As for the formation energy: -0.159 eV/atom.

Record 2
A relaxed structure of NaV2H. Source: Alexandria via LeMat-Bulk, functional PBE.

Structure (POSCAR):
```
NaV2H
1.0
0.0000 3.9148 3.9148
3.9148 0.0000 3.9148
3.9148 3.9148 0.0000
Na V H
2 4 2
Direct
0.1250 0.1250 0.1250
0.8750 0.8750 0.8750
0.0000 0.5000 0.5000
0.5000 0.0000 0.5000
0.5000 0.5000 0.0000
0.5000 0.5000 0.5000
0.3750 0.3750 0.3750
0.6250 0.6250 0.6250
```

Values from the calculation:
Its space-group type is Fd-3m. The value obtained for the electronic total energy is -40.633 eV/cell. Its excess energy over the best structure of this formula in the dataset is 0 meV per atom. The calculation puts the total magnetization at 0.000 μB per atom.

Please write out number 2 again, unchanged.
A relaxed structure of NaV2H. Source: Alexandria via LeMat-Bulk, functional PBE.

Structure (POSCAR):
```
NaV2H
1.0
0.0000 3.9148 3.9148
3.9148 0.0000 3.9148
3.9148 3.9148 0.0000
Na V H
2 4 2
Direct
0.1250 0.1250 0.1250
0.8750 0.8750 0.8750
0.0000 0.5000 0.5000
0.5000 0.0000 0.5000
0.5000 0.5000 0.0000
0.5000 0.5000 0.5000
0.3750 0.3750 0.3750
0.6250 0.6250 0.6250
```

Values from the calculation:
Its space-group type is Fd-3m. The value obtained for the electronic total energy is -40.633 eV/cell. Its excess energy over the best structure of this formula in the dataset is 0 meV per atom. The calculation puts the total magnetization at 0.000 μB per atom.